VASP calculation (GGA-PBE) on crystalline Mn2CuHg at its relaxed geometry.

Output
Magnetic moment, μB per cell: 32.2
E_form, eV per atom: 0.392
Space group: F-43m

Cell: 6.3317 6.3317 6.3317 Å, 90.00 90.00 90.00°
Last column: nearest neighbours and their distance in Å.
Positions (direct):
Mn 0.0000 0.0000 0.0000  4 Mn 2.74, 4 Hg 2.74
Mn 0.0000 0.5000 0.5000  4 Mn 2.74, 4 Hg 2.74
Mn 0.2500 0.2500 0.2500  4 Mn 2.74, 4 Cu 2.74
Mn 0.2500 0.7500 0.7500  4 Mn 2.74, 4 Cu 2.74
Mn 0.5000 0.0000 0.5000  4 Mn 2.74, 4 Hg 2.74
Mn 0.5000 0.5000 0.0000  4 Mn 2.74, 4 Hg 2.74
Mn 0.7500 0.2500 0.7500  4 Mn 2.74, 4 Cu 2.74
Mn 0.7500 0.7500 0.2500  4 Mn 2.74, 4 Cu 2.74
Cu 0.0000 0.0000 0.5000  4 Hg 2.74, 4 Mn 2.74
Cu 0.0000 0.5000 0.0000  4 Hg 2.74, 4 Mn 2.74
Cu 0.5000 0.0000 0.0000  4 Hg 2.74, 4 Mn 2.74
Cu 0.5000 0.5000 0.5000  4 Hg 2.74, 4 Mn 2.74
Hg 0.2500 0.2500 0.7500  4 Mn 2.74, 4 Cu 2.74
Hg 0.2500 0.7500 0.2500  4 Mn 2.74, 4 Cu 2.74
Hg 0.7500 0.2500 0.2500  4 Mn 2.74, 4 Cu 2.74
Hg 0.7500 0.7500 0.7500  4 Mn 2.74, 4 Cu 2.74

VASP calculation (GGA-PBE) on crystalline TlOsRu2 at its relaxed geometry.

Output
Magnetic moment, μB per cell: 0.0
E_form, eV per atom: 0.647
Space group: R3m
Energy relative to the lowest polymorph listed for this composition, kJ/mol of formula units: 92

Cell: 2.8560 2.8560 27.4992 Å, 90.00 90.00 120.00°
Last column: nearest neighbours and their distance in Å.
Positions (direct):
Tl 0.0000 0.0000 0.0000  6 Tl 2.86, 3 Ru 2.95, 3 Os 3.03
Tl 0.3333 0.6667 0.6667  6 Tl 2.86, 3 Ru 2.95, 3 Os 3.03
Tl 0.6667 0.3333 0.3333  6 Tl 2.86, 3 Ru 2.95, 3 Os 3.03
Os 0.0000 0.0000 0.7589  3 Ru 2.65, 6 Os 2.86
Os 0.3333 0.6667 0.4256  3 Ru 2.65, 6 Os 2.86
Os 0.6667 0.3333 0.0923  3 Ru 2.65, 6 Os 2.86
Ru 0.0000 0.0000 0.2443  9 Ru 2.67-2.86, 3 Tl 2.95
Ru 0.0000 0.0000 0.5011  3 Os 2.65, 9 Ru 2.67-2.86
Ru 0.3333 0.6667 0.1678  3 Os 2.65, 9 Ru 2.67-2.86
Ru 0.3333 0.6667 0.9109  9 Ru 2.67-2.86, 3 Tl 2.95
Ru 0.6667 0.3333 0.5776  9 Ru 2.67-2.86, 3 Tl 2.95
Ru 0.6667 0.3333 0.8345  3 Os 2.65, 9 Ru 2.67-2.86

VASP calculation (GGA-PBE) on crystalline ZnGa3Ir at its relaxed geometry.

Output
Magnetic moment, μB per cell: 0.0
E_form, eV per atom: -0.173
Space group: C2/c
Energy relative to the lowest polymorph listed for this composition, kJ/mol of formula units: 0

Cell: 8.0141 8.0141 5.8066 Å, 96.06 96.06 95.97°
Last column: nearest neighbours and their distance in Å.
Positions (direct):
Zn 0.0842 0.6283 0.9040  2 Ir 2.59-2.62, 1 Zn 2.74, 3 Ga 2.78-2.88
Zn 0.3717 0.9158 0.5960  2 Ir 2.59-2.62, 1 Zn 2.74, 3 Ga 2.78-2.88
Zn 0.6283 0.0842 0.4040  2 Ir 2.59-2.62, 1 Zn 2.74, 3 Ga 2.78-2.88
Zn 0.9158 0.3717 0.0960  2 Ir 2.59-2.62, 1 Zn 2.74, 3 Ga 2.78-2.88
Ga 0.1216 0.1426 0.5121  2 Ir 2.53-2.55, 2 Ga 2.55-2.83
Ga 0.1281 0.5967 0.4253  2 Ir 2.52-2.57, 1 Ga 2.71, 1 Zn 2.78
Ga 0.1426 0.1216 0.0121  2 Ir 2.53-2.55, 2 Ga 2.55-2.83
Ga 0.3506 0.3813 0.9891  2 Ir 2.51-2.53, 1 Ga 2.55
Ga 0.3813 0.3506 0.4891  2 Ir 2.51-2.53, 1 Ga 2.55
Ga 0.4033 0.8719 0.0747  2 Ir 2.52-2.57, 1 Ga 2.71, 1 Zn 2.78
Ga 0.5967 0.1281 0.9253  2 Ir 2.52-2.57, 1 Ga 2.71, 1 Zn 2.78
Ga 0.6187 0.6494 0.5109  2 Ir 2.51-2.53, 1 Ga 2.55
Ga 0.6494 0.6187 0.0109  2 Ir 2.51-2.53, 1 Ga 2.55
Ga 0.8574 0.8784 0.9879  2 Ir 2.53-2.55, 2 Ga 2.55-2.83
Ga 0.8719 0.4033 0.5747  2 Ir 2.52-2.57, 1 Ga 2.71, 1 Zn 2.78
Ga 0.8784 0.8574 0.4879  2 Ir 2.53-2.55, 2 Ga 2.55-2.83
Ir 0.1283 0.8717 0.2500  6 Ga 2.52-2.55, 2 Zn 2.62
Ir 0.3761 0.6239 0.7500  6 Ga 2.51-2.57, 2 Zn 2.59
Ir 0.6239 0.3761 0.2500  6 Ga 2.51-2.57, 2 Zn 2.59
Ir 0.8717 0.1283 0.7500  6 Ga 2.52-2.55, 2 Zn 2.62

VASP calculation (GGA-PBE) on crystalline MgBePb3 at its relaxed geometry.

Output
Magnetic moment, μB per cell: 0.0
E_form, eV per atom: 0.358
Space group: Pm-3m
Energy relative to the lowest polymorph listed for this composition, kJ/mol of formula units: 0

Cell: 5.1737 5.1737 5.1737 Å, 90.00 90.00 90.00°
Last column: nearest neighbours and their distance in Å.
Positions (direct):
Mg 0.0000 0.0000 0.0000  12 Pb 3.66
Be 0.5000 0.5000 0.5000  6 Pb 2.59
Pb 0.0000 0.5000 0.5000  2 Be 2.59
Pb 0.5000 0.0000 0.5000  2 Be 2.59
Pb 0.5000 0.5000 0.0000  2 Be 2.59

VASP calculation (GGA-PBE) on crystalline Al2TcBr at its relaxed geometry.

Output
Magnetic moment, μB per cell: 0.0
E_form (uncorrected), eV per atom: 0.269
Space group: P4/mmm
Energy relative to the lowest polymorph listed for this composition, kJ/mol of formula units: 191

Cell: 4.9006 4.9006 2.8808 Å, 90.00 90.00 90.00°
Last column: nearest neighbours and their distance in Å.
Positions (direct):
Al 0.0000 0.5000 0.0000  4 Tc 2.84, 4 Br 2.84, 2 Al 2.88
Al 0.5000 0.0000 0.0000  4 Tc 2.84, 4 Br 2.84, 2 Al 2.88
Tc 0.0000 0.0000 0.5000  8 Al 2.84, 2 Tc 2.88
Br 0.5000 0.5000 0.5000  8 Al 2.84, 2 Br 2.88

VASP calculation (GGA-PBE) on crystalline AcPrErTe3 at its relaxed geometry.

Output
Magnetic moment, μB per cell: 0.0
E_form (uncorrected), eV per atom: -1.280
Space group: P2_1/m

Cell: 8.7843 4.6478 10.5835 Å, 90.00 110.76 90.00°
Last column: nearest neighbours and their distance in Å.
Positions (direct):
Ac 0.1878 0.2500 0.2348  7 Te 3.37-3.45
Ac 0.8122 0.7500 0.7652  7 Te 3.37-3.45
Pr 0.3558 0.7500 0.8761  5 Te 3.16-3.30
Pr 0.6442 0.2500 0.1239  5 Te 3.16-3.30
Er 0.1346 0.2500 0.6169  4 Te 3.01-3.10
Er 0.8654 0.7500 0.3831  4 Te 3.01-3.10
Te 0.1043 0.2500 0.8948  1 Er 3.05, 2 Pr 3.26, 3 Ac 3.37-3.41
Te 0.2434 0.7500 0.4888  3 Er 3.01-3.10
Te 0.4549 0.7500 0.2071  3 Pr 3.16-3.30, 2 Ac 3.39, 1 Er 3.42
Te 0.5451 0.2500 0.7929  3 Pr 3.16-3.30, 2 Ac 3.39, 1 Er 3.42
Te 0.7566 0.2500 0.5112  3 Er 3.01-3.10
Te 0.8957 0.7500 0.1052  1 Er 3.05, 2 Pr 3.26, 3 Ac 3.37-3.41